Arrangement 1

VASP calculation (GGA-PBE) on a relaxed structure of CeAlGaNi.

The space group is F-43m (No. 216) and the conventional cell measures 6.601, 6.601 and 6.601 Å, with angles of 90.00, 90.00 and 90.00 degrees. The inequivalent atoms are Ce at (0.000, 0.000, 0.000), Al at (0.000, 0.000, 0.500), Ga at (0.250, 0.250, 0.750) and Ni at (0.250, 0.250, 0.250).


Arrangement 2

VASP calculation (GGA-PBE) on a relaxed structure of CeAlGaNi.

The space group is R3m (No. 160, hexagonal axes) and the conventional cell measures 4.1067, 4.1067 and 15.8769 Å, with angles of 90.00, 90.00 and 120.00 degrees. The inequivalent atoms are Ce at (0.0000, 0.0000, 0.0000), Al at (0.0000, 0.0000, 0.7939), Ga at (0.0000, 0.0000, 0.2106) and Ni at (0.0000, 0.0000, 0.4988).


Quick one: least stable of them? arrangement 1


Arrangement 1

VASP calculation (GGA-PBE) on a relaxed structure of CePuAlGa.

The space group is F-43m (No. 216) and the conventional cell measures 7.208, 7.208 and 7.208 Å, with angles of 90.00, 90.00 and 90.00 degrees. The inequivalent atoms are Ce at (0.000, 0.000, 0.000), Pu at (0.000, 0.000, 0.500), Al at (0.250, 0.250, 0.250) and Ga at (0.250, 0.250, 0.750).


Arrangement 2

VASP calculation (GGA-PBE) on a relaxed structure of CePuAlGa.

The space group is Amm2 (No. 38) and the conventional cell measures 5.531, 3.007 and 10.609 Å, with angles of 90.00, 90.00 and 90.00 degrees. The inequivalent atoms are Ce at (0.000, 0.000, 0.000), Pu at (0.000, 0.000, 0.264), Al at (0.500, 0.000, 0.856) and Ga at (0.500, 0.000, 0.127).


Quick one: least stable of them? arrangement 2


Arrangement 1

VASP calculation (GGA-PBE) on a relaxed structure of CeGdAl.

The space group is P-6m2 (No. 187) and the conventional cell measures 5.1951, 5.1951 and 3.0525 Å, with angles of 90.00, 90.00 and 120.00 degrees. The inequivalent atoms are Ce at (0.0000, 0.0000, 0.0000), Gd at (0.3333, 0.6667, 0.0000) and Al at (0.6667, 0.3333, 0.5000).


Arrangement 2

VASP calculation (GGA-PBE) on a relaxed structure of CeGdAl.

The space group is I4mm (No. 107) and the conventional cell measures 3.350, 3.350 and 14.138 Å, with angles of 90.00, 90.00 and 90.00 degrees. The inequivalent atoms are Ce at (0.000, 0.000, 0.000), Gd at (0.000, 0.000, 0.704) and Al at (0.000, 0.000, 0.351).


Quick one: least stable of them? arrangement 1


Arrangement 1

VASP calculation (GGA-PBE) on a relaxed structure of CeGdAl2.

The space group is Fm-3m (No. 225) and the conventional cell measures 7.305, 7.305 and 7.305 Å, with angles of 90.00, 90.00 and 90.00 degrees. The inequivalent atoms are Ce at (0.000, 0.000, 0.000), Gd at (0.000, 0.000, 0.500) and Al at (0.250, 0.250, 0.250).


Arrangement 2

VASP calculation (GGA-PBE) on a relaxed structure of CeGdAl2.

The space group is P4/mmm (No. 123) and the conventional cell measures 4.724, 4.724 and 4.316 Å, with angles of 90.00, 90.00 and 90.00 degrees. The inequivalent atoms are Ce at (0.000, 0.000, 0.000), Gd at (0.500, 0.500, 0.000) and Al at (0.000, 0.500, 0.500).


Quick one: least stable of them? arrangement 2


Arrangement 1

VASP calculation (GGA-PBE) on a relaxed structure of Ce3AlGe2.

The space group is Cmcm (No. 63) and the conventional cell measures 9.152, 10.574 and 5.716 Å, with angles of 90.00, 90.00 and 90.00 degrees. The inequivalent atoms are Ce at (0.000, 0.074, 0.250), Ce at (0.160, 0.238, 0.750), Al at (0.000, 0.366, 0.250) and Ge at (0.214, 0.500, 0.000).


Arrangement 2

VASP calculation (GGA-PBE) on a relaxed structure of Ce3AlGe2.

The space group is Pnma (No. 62) and the conventional cell measures 12.378, 4.174 and 10.960 Å, with angles of 90.00, 90.00 and 90.00 degrees. The inequivalent atoms are Ce at (0.043, 0.250, 0.092), Ce at (0.124, 0.750, 0.573), Ce at (0.213, 0.250, 0.767), Al at (0.126, 0.250, 0.363), Ge at (0.025, 0.750, 0.297) and Ge at (0.201, 0.750, 0.987).


Quick one: least stable of them? arrangement 1


Arrangement 1

VASP calculation (GGA-PBE) on a relaxed structure of Ce3AlGe3.

The space group is C2/m (No. 12) and the conventional cell measures 11.177, 4.326 and 14.208 Å, with angles of 90.00, 108.29 and 90.00 degrees. The inequivalent atoms are Ce at (0.013, 0.000, 0.382), Ce at (0.102, 0.000, 0.922), Ce at (0.240, 0.000, 0.226), Al at (0.229, 0.500, 0.389), Ge at (0.024, 0.500, 0.230), Ge at (0.121, 0.500, 0.076) and Ge at (0.146, 0.500, 0.548).


Arrangement 2

VASP calculation (GGA-PBE) on a relaxed structure of Ce3AlGe3.

The space group is P6_3/m (No. 176) and the conventional cell measures 8.6334, 8.6334 and 5.9481 Å, with angles of 90.00, 90.00 and 120.00 degrees. The inequivalent atoms are Ce at (0.0812, 0.3903, 0.2500), Al at (0.3333, 0.6667, 0.7500) and Ge at (0.0680, 0.3546, 0.7500).


Quick one: least stable of them? arrangement 2